Here is NiOF2 after structural relaxation from Alexandria via LeMat-Bulk. Energies are from PBE with a Hubbard U.

* spin magnetization: 7.64 Bohr magnetons per cell
* raw total energy: -3.478 eV per atom

Cell lengths 3.0407, 3.0407, 21.3338 Å; angles 90.00, 90.00, 120.00 degrees
Closest atoms and distances in Å follow each position.
Space group R-3m (No. 166, hexagonal axes)
Inequivalent atoms, fractional coordinates:
Ni 0.0000 0.0000 0.0000 [3 per cell]  6 F 2.02
O 0.0000 0.0000 0.5000 [3 per cell]  2 F 2.55
F 0.0000 0.0000 0.3802 [6 per cell]  3 Ni 2.02